Compound: Pr2YHoP4
Source: Alexandria via LeMat-Bulk
Functional: PBE
Structure: relaxed

- E_form (eV/atom) = -1.5582

abc: 7.102 4.106 7.108
angles: 90.00 109.47 90.00
Element x y z (fractional)
Pr 0.000 0.000 0.000
Pr 0.000 0.500 0.500
Y 0.500 0.000 0.500
Ho 0.500 0.500 0.000
P 0.262 0.000 0.755
P 0.262 0.500 0.253
P 0.738 0.000 0.245
P 0.738 0.500 0.747

Compound: PrYHo2P4
Source: Alexandria via LeMat-Bulk
Functional: PBE
Structure: relaxed

- E_form (eV/atom) = -1.5802

abc: 7.013 4.052 7.013
angles: 90.00 109.46 90.00
Element x y z (fractional)
Pr 0.000 0.000 0.000
Y 0.500 0.500 0.000
Ho 0.000 0.500 0.500
Ho 0.500 0.000 0.500
P 0.253 0.000 0.744
P 0.258 0.500 0.259
P 0.742 0.500 0.741
P 0.747 0.000 0.256

Compound: HoPPt5
Source: Alexandria via LeMat-Bulk
Functional: PBE
Structure: relaxed

- E_form (eV/atom) = -0.8413

abc: 4.042 4.042 7.106
angles: 90.00 90.00 90.00
Element x y z (fractional)
Ho 0.000 0.000 0.000
P 0.500 0.500 0.500
Pt 0.000 0.500 0.298
Pt 0.000 0.500 0.702
Pt 0.500 0.000 0.298
Pt 0.500 0.000 0.702
Pt 0.500 0.500 0.000

Compound: HoPPt
Source: Alexandria via LeMat-Bulk
Functional: PBE
Structure: relaxed

- E_form (eV/atom) = -0.8002

abc: 8.663 8.663 8.663
angles: 153.64 153.64 37.63
Element x y z (fractional)
Ho 0.120 0.120 0.000
Ho 0.880 0.880 0.000
P 0.280 0.280 0.000
P 0.720 0.720 0.000
Pt 0.423 0.423 0.000
Pt 0.577 0.577 0.000

Compound: HoPPt3
Source: Alexandria via LeMat-Bulk
Functional: PBE
Structure: relaxed

- E_form (eV/atom) = -1.0117

abc: 6.183 6.183 6.183
angles: 142.30 142.30 54.37
Element x y z (fractional)
Ho 0.000 0.000 0.000
P 0.621 0.621 0.000
Pt 0.238 0.738 0.500
Pt 0.418 0.418 0.000
Pt 0.738 0.238 0.500

Compound: HoP2Pt7
Source: Alexandria via LeMat-Bulk
Functional: PBE
Structure: relaxed

- E_form (eV/atom) = -0.6689

abc: 10.546 10.546 10.546
angles: 158.04 158.04 31.26
Element x y z (fractional)
Ho 0.000 0.000 0.000
P 0.326 0.326 0.000
P 0.674 0.674 0.000
Pt 0.106 0.606 0.500
Pt 0.250 0.750 0.500
Pt 0.394 0.894 0.500
Pt 0.500 0.500 0.000
Pt 0.606 0.106 0.500
Pt 0.750 0.250 0.500
Pt 0.894 0.394 0.500

Compound: Ho2PPt
Source: Alexandria via LeMat-Bulk
Functional: PBE
Structure: relaxed

- E_form (eV/atom) = -1.2739

abc: 7.114 7.114 7.114
angles: 32.48 32.48 32.48
Element x y z (fractional)
Ho 0.247 0.247 0.247
Ho 0.753 0.753 0.753
P 0.500 0.500 0.500
Pt 0.000 0.000 0.000

Compound: Ho2P3Pt9
Source: Alexandria via LeMat-Bulk
Functional: PBE
Structure: relaxed

- E_form (eV/atom) = -0.7378

abc: 7.856 7.856 9.679
angles: 113.70 113.70 60.68
Element x y z (fractional)
Ho 0.090 0.254 0.252
Ho 0.254 0.090 0.752
Ho 0.746 0.910 0.248
Ho 0.910 0.746 0.748
P 0.000 0.500 0.000
P 0.125 0.688 0.504
P 0.312 0.875 0.996
P 0.500 0.000 0.500
P 0.688 0.125 0.004
P 0.875 0.312 0.496
Pt 0.006 0.874 0.080
Pt 0.126 0.994 0.420
Pt 0.182 0.368 0.586
Pt 0.214 0.581 0.271
Pt 0.275 0.486 0.934
Pt 0.356 0.644 0.750
Pt 0.368 0.182 0.086
Pt 0.419 0.786 0.229
Pt 0.486 0.275 0.434
Pt 0.514 0.725 0.566
Pt 0.581 0.214 0.771
Pt 0.632 0.818 0.914
Pt 0.644 0.356 0.250
Pt 0.725 0.514 0.066
Pt 0.786 0.419 0.729
Pt 0.818 0.632 0.414
Pt 0.874 0.006 0.580
Pt 0.994 0.126 0.920